1.
Density functional theory data (GGA-PBE) for a relaxed structure of VZnN3.

```
VZnN3
1.0
3.777 0.000 0.000
0.000 3.777 0.000
0.000 0.000 3.777
V Zn N
1 1 3
Direct
0.000 0.000 0.000
0.500 0.500 0.500
0.000 0.500 0.500
0.500 0.000 0.500
0.500 0.500 0.000
```

Results
Calculated volume in Å³ per cell: 53.9
Raw total energy in eV per atom: -5.389
Fermi-level density of states in states/eV/f.u.: 4.658
Formation energy (no corrections) in eV/f.u.: 8.424

2.
Density functional theory data (GGA-PBE) for a relaxed structure of NdHCl3.

```
NdHCl3
1.0
7.251 0.000 0.000
0.000 7.492 0.000
-4.066 0.000 12.371
Nd H Cl
4 4 12
Direct
0.000 0.250 0.083
0.000 0.250 0.417
0.000 0.750 0.583
0.000 0.750 0.917
0.055 0.234 0.760
0.055 0.766 0.260
0.945 0.234 0.740
0.945 0.766 0.240
0.246 0.013 0.033
0.246 0.486 0.554
0.246 0.514 0.054
0.246 0.987 0.533
0.247 0.251 0.293
0.247 0.749 0.793
0.753 0.251 0.207
0.753 0.749 0.707
0.754 0.013 0.467
0.754 0.486 0.946
0.754 0.514 0.446
0.754 0.987 0.967
```

Results
Calculated volume in Å³ per cell: 672.0
Raw total energy in eV per atom: -4.534
Fermi-level density of states in states/eV/f.u.: 0.000

3.
Density functional theory data (GGA-PBE) for a relaxed structure of DyFe2C.

```
DyFe2C
1.0
3.430 0.000 0.000
0.000 17.517 0.000
0.000 0.000 3.524
Dy Fe C
4 8 4
Direct
0.000 0.115 0.250
0.000 0.885 0.750
0.500 0.385 0.750
0.500 0.615 0.250
0.000 0.250 0.750
0.000 0.462 0.250
0.000 0.538 0.750
0.000 0.750 0.250
0.500 0.038 0.750
0.500 0.250 0.250
0.500 0.750 0.750
0.500 0.962 0.250
0.000 0.306 0.250
0.000 0.694 0.750
0.500 0.194 0.750
0.500 0.806 0.250
```

Results
Distance to the lowest polymorph of the same formula in meV per atom: 0
Calculated volume in Å³ per cell: 211.8
Raw total energy in eV per atom: -7.669
Fermi-level density of states in states/eV/f.u.: 2.848
DFT formation energy in eV/f.u.: 0.1

4.
Density functional theory data (GGA-PBE) for a relaxed structure of LiPmPaIr.

```
LiPmPaIr
1.0
7.033 0.000 0.000
0.000 7.033 0.000
0.000 0.000 7.033
Li Pm Pa Ir
4 4 4 4
Direct
0.000 0.000 0.000
0.000 0.500 0.500
0.500 0.000 0.500
0.500 0.500 0.000
0.250 0.250 0.750
0.250 0.750 0.250
0.750 0.250 0.250
0.750 0.750 0.750
0.250 0.250 0.250
0.250 0.750 0.750
0.750 0.250 0.750
0.750 0.750 0.250
0.000 0.000 0.500
0.000 0.500 0.000
0.500 0.000 0.000
0.500 0.500 0.500
```

Results
Calculated volume in Å³ per cell: 347.9
Raw total energy in eV per atom: -6.429
Fermi-level density of states in states/eV/f.u.: 6.103
DFT formation energy in eV/f.u.: -0.7

5.
Density functional theory data (GGA-PBE) for a relaxed structure of Y2CrSb.

```
Y2CrSb
1.0
3.896 0.000 0.000
0.000 3.896 0.000
0.000 0.000 6.623
Y Cr Sb
2 1 1
Direct
0.000 0.000 0.249
0.000 0.000 0.751
0.500 0.500 0.000
0.500 0.500 0.500
```

Results
Calculated volume in Å³ per cell: 100.5
Raw total energy in eV per atom: -6.946
Fermi-level density of states in states/eV/f.u.: 2.291
Formation energy (no corrections) in eV/f.u.: -1.111

6.
Density functional theory data (GGA-PBE) for a relaxed structure of GeAs2PtBr.

```
GeAs2PtBr
1.0
4.885 0.000 0.000
0.000 4.885 0.000
0.000 0.000 5.265
Ge As Pt Br
1 2 1 1
Direct
0.000 0.000 0.000
0.000 0.500 0.500
0.500 0.000 0.500
0.500 0.500 0.500
0.500 0.500 0.000
```

Results
Distance to the lowest polymorph of the same formula in meV per atom: 0
Calculated volume in Å³ per cell: 125.6
Raw total energy in eV per atom: -3.757
Fermi-level density of states in states/eV/f.u.: 5.894
Formation energy (no corrections) in eV/f.u.: 2.844

7.
Density functional theory data (GGA-PBE) for a relaxed structure of Ac2Pa3Se8.

```
Ac2Pa3Se8
1.0
7.710 -4.194 0.000
7.710 4.194 0.000
-2.110 0.000 6.671
Ac Pa Se
2 3 8
Direct
0.237 0.237 0.170
0.763 0.763 0.830
0.257 0.743 0.500
0.500 0.500 0.000
0.743 0.257 0.500
0.109 0.109 0.433
0.147 0.614 0.091
0.382 0.382 0.590
0.386 0.853 0.909
0.614 0.147 0.091
0.618 0.618 0.410
0.853 0.386 0.909
0.891 0.891 0.567
```

Results
Distance to the lowest polymorph of the same formula in meV per atom: 44
Calculated volume in Å³ per cell: 431.4
Raw total energy in eV per atom: -6.490
Fermi-level density of states in states/eV/f.u.: 11.159
Formation energy (no corrections) in eV/f.u.: -19.786

8.
Density functional theory data (GGA-PBE) for a relaxed structure of Ge2HPd.

```
Ge2HPd
1.0
3.008 0.000 0.000
-1.504 2.605 0.000
0.000 0.000 22.961
Ge H Pd
6 3 3
Direct
0.000 0.000 0.079
0.000 0.000 0.921
0.333 0.667 0.588
0.333 0.667 0.746
0.667 0.333 0.254
0.667 0.333 0.412
0.000 0.000 0.000
0.333 0.667 0.667
0.667 0.333 0.333
0.000 0.000 0.500
0.333 0.667 0.167
0.667 0.333 0.833
```

Results
Distance to the lowest polymorph of the same formula in meV per atom: 0
Calculated volume in Å³ per cell: 179.9
Raw total energy in eV per atom: -4.366
Fermi-level density of states in states/eV/f.u.: 1.332